This record from Alexandria via LeMat-Bulk describes a relaxed structure of Na2TmGeSe4. The functional is PBE.

Geometry as POSCAR:
```
Na2TmGeSe4
1.0
-2.573 7.296 2.688
-6.107 -0.196 -5.454
1.084 -6.271 5.300
Na Tm Ge Se
4 2 2 8
Direct
0.500 0.000 0.000
0.500 0.000 0.500
0.000 0.000 0.500
0.500 0.500 0.000
0.000 0.500 0.000
0.000 0.500 0.500
0.500 0.500 0.500
0.000 0.000 0.000
0.228 0.752 0.990
0.748 0.272 0.510
0.252 0.728 0.490
0.772 0.248 0.010
0.756 0.744 0.978
0.756 0.744 0.522
0.244 0.256 0.478
0.244 0.256 0.022
```

Calculated values
E_form (uncorrected): -1.0870 eV/atom
total magnetic moment: 0.0 μB/f.u.
calculated volume: 193.6 Å³/f.u.